1.
First-principles (PBE) data for a relaxed structure of V3Cr2Ru3, as listed in Alexandria via LeMat-Bulk.

Cell: 2.963 4.232 8.788 Å, 103.93 99.71 90.00°
Element x y z (fractional)
V: 0.133 0.133 0.267
V: 0.000 0.500 0.000
V: 0.867 0.867 0.733
Cr: 0.745 0.245 0.490
Cr: 0.255 0.755 0.510
Ru: 0.624 0.624 0.249
Ru: 0.376 0.376 0.751
Ru: 0.500 0.000 0.000

Properties
As for the crystal system: orthorhombic. As for the energy: -9.468 eV/atom. The space group is No. 71.

2.
First-principles (PBE) data for a relaxed structure of CuPb2, as listed in Alexandria via LeMat-Bulk.

Cell: 3.621 3.621 13.560 Å, 90.00 90.00 120.00°
Element x y z (fractional)
Cu: 0.000 0.000 0.250
Cu: 0.000 0.000 0.750
Pb: 0.667 0.333 0.391
Pb: 0.333 0.667 0.891
Pb: 0.333 0.667 0.609
Pb: 0.667 0.333 0.109

Properties
As for the crystal system: hexagonal. As for the energy: -3.654 eV/atom. The space group is No. 194.

Question: Which formula does entry 1 have?
Answer: V3Cr2Ru3

Question: Among the records above, which one has the highest energy?
Answer: CuPb2

Question: Among the records above, which one has the highest energy?
Answer: CuPb2